[1]
! SiNiSbI2, optimized geometry, DFT PBE-GGA; values from VASP
! Spin magnetization in μB/cell: 0.9
! Symmetry: P4/mmm, No. 123
! Distance to the lowest polymorph of the same formula in meV/atom: 348
! Raw formation energy in eV/f.u.: 4.89
&SYSTEM
  ibrav = 0, nat = 5, ntyp = 4
/
ATOMIC_SPECIES
I 126.90 I.upf
Si 28.09 Si.upf
Ni 58.69 Ni.upf
Sb 121.76 Sb.upf
ATOMIC_POSITIONS crystal
I 0.000 0.500 0.000
Si 0.000 0.000 0.000
I 0.500 0.000 0.000
Ni 0.500 0.500 0.500
Sb 0.000 0.000 0.500
CELL_PARAMETERS angstrom
5.407 0.000 0.000
0.000 5.407 0.000
0.000 0.000 5.450

---

[2]
! NaLaNbSe2, optimized geometry, DFT PBE-GGA; values from VASP
! Spin magnetization in μB/cell: 4.3
! Symmetry: P4/mmm, No. 123
! Raw formation energy in eV/f.u.: 1.62
&SYSTEM
  ibrav = 0, nat = 5, ntyp = 4
/
ATOMIC_SPECIES
Na 22.99 Na.upf
La 138.91 La.upf
Se 78.96 Se.upf
Nb 92.91 Nb.upf
ATOMIC_POSITIONS crystal
Na 0.500 0.500 0.500
La 0.000 0.000 0.000
Se 0.000 0.000 0.500
Nb 0.000 0.500 0.000
Se 0.500 0.000 0.000
CELL_PARAMETERS angstrom
5.796 0.000 0.000
0.000 5.757 0.000
0.000 0.000 5.796

---

[3]
! YGe3C, optimized geometry, DFT PBE-GGA; values from VASP
! Spin magnetization in μB/cell: 0.0
! Symmetry: Pm-3m, No. 221
! Energy of formation in eV/atom: 0.56
! Distance to the lowest polymorph of the same formula in meV/atom: 0
&SYSTEM
  ibrav = 0, nat = 5, ntyp = 3
/
ATOMIC_SPECIES
C 12.01 C.upf
Y 88.91 Y.upf
Ge 72.64 Ge.upf
ATOMIC_POSITIONS crystal
C 0.000 0.000 0.000
Y 0.500 0.500 0.500
Ge 0.000 0.000 0.500
Ge 0.500 0.000 0.000
Ge 0.000 0.500 0.000
CELL_PARAMETERS angstrom
4.489 0.000 0.000
0.000 4.489 0.000
0.000 0.000 4.489

---

[4]
! LiMgFe2B, optimized geometry, DFT PBE-GGA; values from VASP
! Spin magnetization in μB/cell: 4.7
! Symmetry: P4/mmm, No. 123
! Energy of formation in eV/atom: 1.07
&SYSTEM
  ibrav = 0, nat = 5, ntyp = 4
/
ATOMIC_SPECIES
B 10.81 B.upf
Li 6.94 Li.upf
Fe 55.84 Fe.upf
Mg 24.30 Mg.upf
ATOMIC_POSITIONS crystal
B 0.000 0.500 0.000
Li 0.000 0.000 0.000
Fe 0.000 0.000 0.500
Fe 0.500 0.000 0.000
Mg 0.500 0.500 0.500
CELL_PARAMETERS angstrom
-3.103 -1.368 -2.154
-0.123 -3.157 2.181
-2.548 1.832 2.508